1.
TbUTc after structural relaxation, computed with PBE-GGA.

The value obtained for the energy above the most stable polymorph in this dataset is 0 meV/atom. As for the spin magnetization: 0.3803 μB per atom. The electronic total energy is -7.8013 eV per atom. The value obtained for the calculated formation energy is 0.96 eV per atom.

a = 4.593 Å, b = 4.593 Å, c = 4.593 Å
α = 60.00°, β = 60.00°, γ = 60.00°
Atoms (fractional coordinates):
U 0.000 0.000 0.000
Tb 0.250 0.250 0.250
Tc 0.750 0.750 0.750



2.
RbCuNiTe2S after structural relaxation, computed with PBE-GGA.

As for the spin magnetization: 0.0068 μB per atom. The electronic total energy is -3.7341 eV per atom.

a = 7.453 Å, b = 7.453 Å, c = 10.949 Å
α = 90.00°, β = 90.00°, γ = 149.63°
Atoms (fractional coordinates):
Cu 0.038 0.962 0.250
Cu 0.962 0.038 0.750
Rb 0.237 0.763 0.750
Rb 0.763 0.237 0.250
Te 0.887 0.113 0.535
Te 0.113 0.887 0.465
Te 0.887 0.113 0.965
Te 0.113 0.887 0.035
Ni 0.500 0.500 0.500
Ni 0.500 0.500 0.000
S 0.462 0.538 0.250
S 0.538 0.462 0.750



3.
LuTcNO after structural relaxation, computed with PBE-GGA.

The value obtained for the energy above the most stable polymorph in this dataset is 398 meV/atom. As for the spin magnetization: 0.4269 μB per atom. The electronic total energy is -8.1692 eV per atom.

a = 4.656 Å, b = 4.656 Å, c = 4.332 Å
α = 90.00°, β = 90.00°, γ = 90.00°
Atoms (fractional coordinates):
Tc 0.250 0.250 0.002
Tc 0.750 0.750 0.998
N 0.250 0.250 0.502
N 0.750 0.750 0.498
Lu 0.750 0.250 0.500
Lu 0.250 0.750 0.500
O 0.750 0.250 0.000
O 0.250 0.750 0.000



4.
ScTaCo2Bi2 after structural relaxation, computed with PBE-GGA.

As for the spin magnetization: 0.0004 μB per atom. The electronic total energy is -7.0085 eV per atom.

a = 6.144 Å, b = 4.335 Å, c = 8.683 Å
α = 90.00°, β = 90.00°, γ = 90.00°
Atoms (fractional coordinates):
Co 0.267 0.000 0.360
Co 0.733 0.500 0.113
Co 0.767 0.500 0.640
Co 0.233 0.000 0.887
Sc 0.512 0.000 0.624
Sc 0.012 0.500 0.376
Bi 0.486 0.500 0.871
Bi 0.013 0.000 0.621
Bi 0.986 0.000 0.129
Bi 0.513 0.500 0.379
Ta 0.990 0.500 0.876
Ta 0.490 0.000 0.124



5.
LaNbNO after structural relaxation, computed with PBE-GGA.

The value obtained for the energy above the most stable polymorph in this dataset is 33 meV/atom. As for the spin magnetization: 0.0001 μB per atom. The electronic total energy is -8.7272 eV per atom.

a = 3.850 Å, b = 3.850 Å, c = 8.706 Å
α = 90.00°, β = 90.00°, γ = 90.00°
Atoms (fractional coordinates):
La 0.250 0.250 0.150
La 0.750 0.750 0.850
O 0.250 0.750 0.000
O 0.750 0.250 0.000
N 0.250 0.250 0.636
N 0.750 0.750 0.364
Nb 0.250 0.750 0.500
Nb 0.750 0.250 0.500



6.
MgTaZnIr after structural relaxation, computed with PBE-GGA.

The value obtained for the energy above the most stable polymorph in this dataset is 0 meV/atom. As for the spin magnetization: 0.0000 μB per atom. The electronic total energy is -6.2146 eV per atom.

a = 4.475 Å, b = 4.475 Å, c = 4.475 Å
α = 60.00°, β = 60.00°, γ = 60.00°
Atoms (fractional coordinates):
Zn 0.000 0.000 0.000
Ir 0.500 0.500 0.500
Ta 0.250 0.250 0.250
Mg 0.750 0.750 0.750



Which formula does entry 5 have?
LaNbNO